No. 1
Computed, not measured: a relaxed CaErInAg crystal at the PBE level of DFT.

Output
The density of states at the Fermi level is 13.27 states/eV per cell. The total energy comes out at -3.418 eV/atom.

Cell: 7.437 7.437 7.437 Å, 90.00 90.00 90.00°
Atoms (fractional coordinates):
Ca  0.000  0.000  0.000
Ca  0.000  0.500  0.500
Ca  0.500  0.000  0.500
Ca  0.500  0.500  0.000
Er  0.000  0.000  0.500
Er  0.000  0.500  0.000
Er  0.500  0.000  0.000
Er  0.500  0.500  0.500
In  0.250  0.250  0.250
In  0.250  0.750  0.750
In  0.750  0.250  0.750
In  0.750  0.750  0.250
Ag  0.250  0.250  0.750
Ag  0.250  0.750  0.250
Ag  0.750  0.250  0.250
Ag  0.750  0.750  0.750

No. 2
Computed, not measured: a relaxed CaEr2In2Ag2 crystal at the PBE level of DFT.

Output
The density of states at the Fermi level is 5.31 states/eV per cell. The total energy comes out at -3.451 eV/atom.

Cell: 9.453 9.453 9.453 Å, 29.90 29.90 29.90°
Atoms (fractional coordinates):
Ca  0.000  0.000  0.000
Er  0.128  0.128  0.128
Er  0.872  0.872  0.872
In  0.255  0.255  0.255
In  0.745  0.745  0.745
Ag  0.410  0.410  0.410
Ag  0.590  0.590  0.590

No. 3
Computed, not measured: a relaxed CaErAgIr crystal at the PBE level of DFT.

Output
The density of states at the Fermi level is 13.42 states/eV per cell. The total energy comes out at -5.021 eV/atom.

Cell: 6.991 6.991 6.991 Å, 90.00 90.00 90.00°
Atoms (fractional coordinates):
Ca  0.000  0.000  0.000
Ca  0.000  0.500  0.500
Ca  0.500  0.000  0.500
Ca  0.500  0.500  0.000
Er  0.000  0.000  0.500
Er  0.000  0.500  0.000
Er  0.500  0.000  0.000
Er  0.500  0.500  0.500
Ag  0.250  0.250  0.250
Ag  0.250  0.750  0.750
Ag  0.750  0.250  0.750
Ag  0.750  0.750  0.250
Ir  0.250  0.250  0.750
Ir  0.250  0.750  0.250
Ir  0.750  0.250  0.250
Ir  0.750  0.750  0.750

What did the second record say?
Computed, not measured: a relaxed CaEr2In2Ag2 crystal at the PBE level of DFT.

Output
The density of states at the Fermi level is 5.31 states/eV per cell. The total energy comes out at -3.451 eV/atom.

Cell: 9.453 9.453 9.453 Å, 29.90 29.90 29.90°
Atoms (fractional coordinates):
Ca  0.000  0.000  0.000
Er  0.128  0.128  0.128
Er  0.872  0.872  0.872
In  0.255  0.255  0.255
In  0.745  0.745  0.745
Ag  0.410  0.410  0.410
Ag  0.590  0.590  0.590